[1]
The following is a DFT calculation (PBE) of a relaxed TiPdAu4 crystal.

a b c (Å): 4.972 5.947 6.954
angles (deg): 90.00 90.14 90.00
Atoms (fractional coordinates):
Ti 0.160 0.250 0.170
Ti 0.840 0.750 0.830
Pd 0.000 0.000 0.500
Pd 0.000 0.500 0.500
Au 0.160 0.750 0.172
Au 0.327 0.503 0.837
Au 0.327 0.997 0.837
Au 0.484 0.250 0.491
Au 0.516 0.750 0.509
Au 0.673 0.003 0.163
Au 0.673 0.497 0.163
Au 0.840 0.250 0.828

E_form: -0.2263 eV/atom
D(E_F): 7.74 states/eV/cell
ΔE to the lowest computed polymorph: 17 kJ/mol of formula units
Mass density: 15.2 Mg/m³

[2]
The following is a DFT calculation (PBE) of a relaxed Ti2Pd5Au2 crystal.

a b c (Å): 9.169 9.169 9.169
angles (deg): 57.21 136.39 144.84
Atoms (fractional coordinates):
Ti 0.089 0.064 0.153
Ti 0.089 0.436 0.525
Ti 0.911 0.564 0.475
Ti 0.911 0.936 0.847
Pd 0.053 0.749 0.804
Pd 0.500 0.143 0.144
Pd 0.500 0.416 0.418
Pd 0.500 0.582 0.584
Pd 0.500 0.856 0.857
Pd 0.945 0.249 0.196
Pd 0.998 0.082 0.582
Pd 0.998 0.916 0.416
Pd 0.999 0.356 0.856
Pd 0.999 0.643 0.143
Au 0.444 0.749 0.195
Au 0.499 0.499 0.000
Au 0.499 0.999 0.500
Au 0.554 0.249 0.805

E_form: -0.1264 eV/atom
D(E_F): 14.92 states/eV/cell
Mass density: 11.2 Mg/m³

[3]
The following is a DFT calculation (PBE) of a relaxed TiPd4Au crystal.

a b c (Å): 6.959 4.921 5.606
angles (deg): 90.00 97.71 90.00
Atoms (fractional coordinates):
Ti 0.000 0.114 0.250
Ti 0.000 0.886 0.750
Pd 0.158 0.395 0.920
Pd 0.158 0.605 0.420
Pd 0.318 0.091 0.585
Pd 0.318 0.909 0.085
Pd 0.682 0.091 0.915
Pd 0.682 0.909 0.415
Pd 0.842 0.395 0.580
Pd 0.842 0.605 0.080
Au 0.500 0.405 0.250
Au 0.500 0.595 0.750

E_form: -0.3781 eV/atom
D(E_F): 6.61 states/eV/cell
ΔE to the lowest computed polymorph: 22 kJ/mol of formula units
Mass density: 11.7 Mg/m³

[4]
The following is a DFT calculation (PBE) of a relaxed Ti4Pd5Au3 crystal.

a b c (Å): 5.603 5.603 9.977
angles (deg): 116.17 116.17 51.75
Atoms (fractional coordinates):
Ti 0.114 0.114 0.450
Ti 0.207 0.207 0.783
Ti 0.793 0.793 0.217
Ti 0.886 0.886 0.550
Pd 0.343 0.343 0.388
Pd 0.396 0.396 0.685
Pd 0.500 0.500 0.000
Pd 0.604 0.604 0.315
Pd 0.657 0.657 0.612
Au 0.000 0.000 0.000
Au 0.297 0.297 0.095
Au 0.703 0.703 0.905

E_form: -0.1239 eV/atom
D(E_F): 9.44 states/eV/cell
Mass density: 10.2 Mg/m³

[5]
The following is a DFT calculation (PBE) of a relaxed TiPd8Au6 crystal.

a b c (Å): 7.658 7.658 5.020
angles (deg): 90.00 90.00 120.00
Atoms (fractional coordinates):
Ti 0.000 0.000 0.000
Pd 0.052 0.269 0.705
Pd 0.217 0.948 0.705
Pd 0.269 0.217 0.295
Pd 0.333 0.667 0.714
Pd 0.667 0.333 0.286
Pd 0.731 0.783 0.705
Pd 0.783 0.052 0.295
Pd 0.948 0.731 0.295
Au 0.101 0.465 0.213
Au 0.364 0.899 0.213
Au 0.465 0.364 0.787
Au 0.535 0.636 0.213
Au 0.636 0.101 0.787
Au 0.899 0.535 0.787

E_form: -0.1127 eV/atom
D(E_F): 3.05 states/eV/cell
Mass density: 13.6 Mg/m³

[6]
The following is a DFT calculation (PBE) of a relaxed TiPd6Au2 crystal.

a b c (Å): 4.868 4.868 8.381
angles (deg): 106.21 106.21 49.01
Atoms (fractional coordinates):
Ti 0.000 0.000 0.000
Pd 0.002 0.002 0.325
Pd 0.335 0.335 0.109
Pd 0.336 0.336 0.446
Pd 0.664 0.664 0.554
Pd 0.665 0.665 0.891
Pd 0.998 0.998 0.675
Au 0.332 0.332 0.778
Au 0.668 0.668 0.222

E_form: -0.3185 eV/atom
D(E_F): 5.40 states/eV/cell
ΔE to the lowest computed polymorph: 13 kJ/mol of formula units
Mass density: 12.6 Mg/m³

[7]
The following is a DFT calculation (PBE) of a relaxed TiPd4Au3 crystal.

a b c (Å): 4.065 4.065 8.387
angles (deg): 103.92 103.92 90.05
Atoms (fractional coordinates):
Ti 0.000 0.000 0.000
Pd 0.118 0.618 0.237
Pd 0.382 0.882 0.763
Pd 0.618 0.118 0.237
Pd 0.882 0.382 0.763
Au 0.253 0.253 0.506
Au 0.500 0.500 0.000
Au 0.747 0.747 0.494

E_form: -0.3413 eV/atom
D(E_F): 5.66 states/eV/cell
Mass density: 13.6 Mg/m³

[8]
The following is a DFT calculation (PBE) of a relaxed Ti3Pd6Au crystal.

a b c (Å): 8.283 8.283 5.059
angles (deg): 90.00 90.00 109.10
Atoms (fractional coordinates):
Ti 0.119 0.881 0.500
Ti 0.216 0.417 0.176
Ti 0.417 0.216 0.676
Ti 0.583 0.784 0.176
Ti 0.784 0.583 0.676
Ti 0.881 0.119 0.000
Pd 0.038 0.450 0.779
Pd 0.101 0.187 0.528
Pd 0.187 0.101 0.028
Pd 0.227 0.773 0.991
Pd 0.450 0.038 0.279
Pd 0.461 0.539 0.830
Pd 0.539 0.461 0.330
Pd 0.550 0.962 0.779
Pd 0.773 0.227 0.491
Pd 0.813 0.899 0.528
Pd 0.899 0.813 0.028
Pd 0.962 0.550 0.279
Au 0.315 0.685 0.492
Au 0.685 0.315 0.992

E_form: -0.3867 eV/atom
D(E_F): 12.34 states/eV/cell
Mass density: 9.9 Mg/m³

[9]
The following is a DFT calculation (PBE) of a relaxed Ti4PdAu7 crystal.

a b c (Å): 6.042 6.042 9.670
angles (deg): 118.57 118.57 48.48
Atoms (fractional coordinates):
Ti 0.080 0.080 0.277
Ti 0.239 0.239 0.827
Ti 0.761 0.761 0.173
Ti 0.920 0.920 0.723
Pd 0.500 0.500 0.500
Au 0.000 0.000 0.500
Au 0.138 0.138 0.039
Au 0.293 0.293 0.591
Au 0.426 0.426 0.162
Au 0.574 0.574 0.838
Au 0.707 0.707 0.409
Au 0.862 0.862 0.961

E_form: -0.1085 eV/atom
D(E_F): 8.66 states/eV/cell
Mass density: 12.4 Mg/m³

[10]
The following is a DFT calculation (PBE) of a relaxed Ti2Pd7Au crystal.

a b c (Å): 7.602 7.602 4.035
angles (deg): 90.00 90.00 124.01
Atoms (fractional coordinates):
Ti 0.190 0.810 0.000
Ti 0.810 0.190 0.000
Pd 0.000 0.000 0.000
Pd 0.195 0.420 0.000
Pd 0.294 0.706 0.500
Pd 0.420 0.195 0.000
Pd 0.580 0.805 0.000
Pd 0.706 0.294 0.500
Pd 0.805 0.580 0.000
Au 0.500 0.500 0.500

E_form: 0.0853 eV/atom
D(E_F): 5.62 states/eV/cell
Mass density: 8.9 Mg/m³

[11]
The following is a DFT calculation (PBE) of a relaxed Ti3Pd5Au crystal.

a b c (Å): 7.769 7.769 5.452
angles (deg): 90.00 90.00 120.00
Atoms (fractional coordinates):
Ti 0.000 0.341 0.250
Ti 0.000 0.659 0.750
Ti 0.341 0.000 0.250
Ti 0.341 0.341 0.750
Ti 0.659 0.000 0.750
Ti 0.659 0.659 0.250
Pd 0.000 0.334 0.750
Pd 0.000 0.666 0.250
Pd 0.333 0.667 0.000
Pd 0.333 0.667 0.500
Pd 0.334 0.000 0.750
Pd 0.334 0.334 0.250
Pd 0.666 0.000 0.250
Pd 0.666 0.666 0.750
Pd 0.667 0.333 0.000
Pd 0.667 0.333 0.500
Au 0.000 0.000 0.000
Au 0.000 0.000 0.500

E_form: -0.5273 eV/atom
D(E_F): 15.53 states/eV/cell
Mass density: 10.2 Mg/m³

[12]
The following is a DFT calculation (PBE) of a relaxed TiPd5Au crystal.

a b c (Å): 5.409 5.409 9.344
angles (deg): 94.59 94.59 58.66
Atoms (fractional coordinates):
Ti 0.192 0.808 0.750
Ti 0.808 0.192 0.250
Pd 0.123 0.167 0.519
Pd 0.167 0.123 0.019
Pd 0.190 0.372 0.787
Pd 0.251 0.749 0.250
Pd 0.372 0.190 0.287
Pd 0.628 0.810 0.713
Pd 0.749 0.251 0.750
Pd 0.810 0.628 0.213
Pd 0.833 0.877 0.981
Pd 0.877 0.833 0.481
Au 0.500 0.500 0.000
Au 0.500 0.500 0.500

E_form: -0.2033 eV/atom
D(E_F): 5.01 states/eV/cell
ΔE to the lowest computed polymorph: 16 kJ/mol of formula units
Mass density: 11.1 Mg/m³

[13]
The following is a DFT calculation (PBE) of a relaxed Ti6Pd8Au crystal.

a b c (Å): 6.922 6.922 6.922
angles (deg): 63.36 63.36 63.36
Atoms (fractional coordinates):
Ti 0.112 0.652 0.395
Ti 0.348 0.605 0.888
Ti 0.395 0.112 0.652
Ti 0.605 0.888 0.348
Ti 0.652 0.395 0.112
Ti 0.888 0.348 0.605
Pd 0.128 0.408 0.827
Pd 0.173 0.872 0.592
Pd 0.271 0.271 0.271
Pd 0.408 0.827 0.128
Pd 0.592 0.173 0.872
Pd 0.729 0.729 0.729
Pd 0.827 0.128 0.408
Pd 0.872 0.592 0.173
Au 0.000 0.000 0.000

E_form: -0.3786 eV/atom
D(E_F): 14.24 states/eV/cell
Mass density: 8.8 Mg/m³

[14]
The following is a DFT calculation (PBE) of a relaxed Ti2PdAu crystal.

a b c (Å): 4.010 4.010 4.034
angles (deg): 90.00 90.00 90.00
Atoms (fractional coordinates):
Ti 0.000 0.500 0.000
Ti 0.500 0.000 0.000
Pd 0.000 0.000 0.500
Au 0.500 0.500 0.500

E_form: -0.4399 eV/atom
D(E_F): 4.60 states/eV/cell
Mass density: 10.2 Mg/m³

[15]
The following is a DFT calculation (PBE) of a relaxed TiPd5Au5 crystal.

a b c (Å): 5.008 6.526 6.947
angles (deg): 106.93 107.04 106.81
Atoms (fractional coordinates):
Ti 0.000 0.000 0.000
Pd 0.047 0.347 0.323
Pd 0.099 0.717 0.146
Pd 0.500 0.000 0.000
Pd 0.901 0.283 0.854
Pd 0.953 0.653 0.677
Au 0.000 0.000 0.500
Au 0.454 0.515 0.800
Au 0.475 0.815 0.576
Au 0.525 0.185 0.424
Au 0.546 0.485 0.200

E_form: -0.1518 eV/atom
D(E_F): 4.49 states/eV/cell
Mass density: 13.7 Mg/m³

[16]
The following is a DFT calculation (PBE) of a relaxed Ti2Pd2Au3 crystal.

a b c (Å): 4.932 4.932 6.627
angles (deg): 96.39 96.39 45.79
Atoms (fractional coordinates):
Ti 0.083 0.083 0.232
Ti 0.917 0.917 0.768
Pd 0.215 0.215 0.643
Pd 0.785 0.785 0.357
Au 0.362 0.362 0.069
Au 0.500 0.500 0.500
Au 0.638 0.638 0.931

E_form: -0.4902 eV/atom
D(E_F): 4.21 states/eV/cell
ΔE to the lowest computed polymorph: 0 kJ/mol of formula units
Mass density: 13.0 Mg/m³

[17]
The following is a DFT calculation (PBE) of a relaxed Ti3Pd3Au crystal.

a b c (Å): 7.002 7.002 7.002
angles (deg): 59.44 59.44 59.44
Atoms (fractional coordinates):
Ti 0.084 0.301 0.805
Ti 0.195 0.916 0.699
Ti 0.301 0.805 0.084
Ti 0.699 0.195 0.916
Ti 0.805 0.084 0.301
Ti 0.916 0.699 0.195
Pd 0.069 0.741 0.544
Pd 0.259 0.456 0.931
Pd 0.456 0.931 0.259
Pd 0.544 0.069 0.741
Pd 0.741 0.544 0.069
Pd 0.931 0.259 0.456
Au 0.348 0.348 0.348
Au 0.652 0.652 0.652

E_form: -0.2480 eV/atom
D(E_F): 12.61 states/eV/cell
Mass density: 9.1 Mg/m³

[18]
The following is a DFT calculation (PBE) of a relaxed TiPd6Au3 crystal.

a b c (Å): 7.515 4.682 9.937
angles (deg): 90.00 111.70 90.00
Atoms (fractional coordinates):
Ti 0.140 0.250 0.091
Ti 0.860 0.750 0.909
Pd 0.080 0.750 0.208
Pd 0.113 0.250 0.574
Pd 0.267 0.750 0.021
Pd 0.309 0.250 0.367
Pd 0.483 0.750 0.321
Pd 0.498 0.750 0.828
Pd 0.502 0.250 0.172
Pd 0.517 0.250 0.679
Pd 0.691 0.750 0.633
Pd 0.733 0.250 0.979
Pd 0.887 0.750 0.426
Pd 0.920 0.250 0.792
Au 0.085 0.750 0.725
Au 0.290 0.750 0.522
Au 0.317 0.250 0.874
Au 0.683 0.750 0.126
Au 0.710 0.250 0.478
Au 0.915 0.250 0.275

E_form: -0.2593 eV/atom
D(E_F): 10.41 states/eV/cell
ΔE to the lowest computed polymorph: 0 kJ/mol of formula units
Mass density: 13.1 Mg/m³

[19]
The following is a DFT calculation (PBE) of a relaxed Ti2Pd2Au crystal.

a b c (Å): 5.429 5.429 7.361
angles (deg): 109.75 109.75 53.08
Atoms (fractional coordinates):
Ti 0.052 0.727 0.527
Ti 0.273 0.948 0.973
Ti 0.727 0.052 0.027
Ti 0.948 0.273 0.473
Pd 0.126 0.484 0.849
Pd 0.484 0.126 0.349
Pd 0.516 0.874 0.651
Pd 0.874 0.516 0.151
Au 0.339 0.661 0.250
Au 0.661 0.339 0.750

E_form: -0.4741 eV/atom
D(E_F): 10.36 states/eV/cell
ΔE to the lowest computed polymorph: 1 kJ/mol of formula units
Mass density: 10.5 Mg/m³

[20]
The following is a DFT calculation (PBE) of a relaxed TiPdAu6 crystal.

a b c (Å): 4.979 4.979 8.376
angles (deg): 115.04 115.04 48.94
Atoms (fractional coordinates):
Ti 0.000 0.000 0.000
Pd 0.000 0.000 0.500
Au 0.247 0.247 0.372
Au 0.251 0.251 0.878
Au 0.498 0.498 0.754
Au 0.502 0.502 0.246
Au 0.749 0.749 0.122
Au 0.753 0.753 0.628

E_form: -0.1805 eV/atom
D(E_F): 5.30 states/eV/cell
Mass density: 16.0 Mg/m³